[1]
# Ir2PbCl2 PBE-GGA optimized geometry
# Energy relative to the elements, uncorrected: 438 kJ/mol of formula units
data_Ir2PbCl2
_chemical_formula_sum 'Ir4 Pb2 Cl4'
_cell_length_a 8.192
_cell_length_b 8.192
_cell_length_c 3.051
_cell_angle_alpha 90.00
_cell_angle_beta 90.00
_cell_angle_gamma 90.00
_symmetry_space_group_name_H-M 'P 4/m b m'
_symmetry_Int_Tables_number 127
_symmetry_space_group_name_Hall '-P 4 2ab'
loop_
_atom_site_label
_atom_site_type_symbol
_atom_site_fract_x
_atom_site_fract_y
_atom_site_fract_z
Ir1 Ir 0.221 0.279 0.000
Pb1 Pb 0.000 0.000 0.500
Cl1 Cl 0.127 0.627 0.500



[2]
# PrLuScZn PBE-GGA optimized geometry
# Calculated formation energy: 0.008 eV/atom
data_PrLuScZn
_chemical_formula_sum 'Pr4 Lu4 Sc4 Zn4'
_cell_length_a 7.437
_cell_length_b 7.437
_cell_length_c 7.437
_cell_angle_alpha 90.00
_cell_angle_beta 90.00
_cell_angle_gamma 90.00
_symmetry_space_group_name_H-M 'F -4 3 m'
_symmetry_Int_Tables_number 216
_symmetry_space_group_name_Hall 'F -4 2 3'
loop_
_atom_site_label
_atom_site_type_symbol
_atom_site_fract_x
_atom_site_fract_y
_atom_site_fract_z
Pr1 Pr 0.000 0.000 0.000
Lu1 Lu 0.000 0.000 0.500
Sc1 Sc 0.250 0.250 0.250
Zn1 Zn 0.250 0.250 0.750



We obtain E values of -4.12, -4.22 eV per atom for the records listed above, in that order.